one | CdFeC3: relaxed, GGA-PBE.

a = 3.8388 Å, b = 3.8388 Å, c = 3.8388 Å
α = 90.00°, β = 90.00°, γ = 90.00°
Closest atoms and distances in Å follow each position.
Sites, in units of the cell vectors:
Cd 0.0000 0.0000 0.0000  12 C 2.71
Fe 0.5000 0.5000 0.5000  6 C 1.92
C 0.0000 0.5000 0.5000  2 Fe 1.92
C 0.5000 0.0000 0.5000  2 Fe 1.92
C 0.5000 0.5000 0.0000  2 Fe 1.92

Output
ρ = 6.00 Mg/m³
Total magnetic moment = 0.001 Bohr magnetons per cell

=====

two | CdFeC3: relaxed, GGA-PBE.

a = 4.1771 Å, b = 4.1771 Å, c = 4.1771 Å
α = 90.00°, β = 90.00°, γ = 90.00°
Closest atoms and distances in Å follow each position.
Sites, in units of the cell vectors:
Cd 0.0000 0.0000 0.0000  6 C 2.09
Fe 0.5000 0.5000 0.5000  12 C 2.95
C 0.0000 0.0000 0.5000  2 Cd 2.09
C 0.0000 0.5000 0.0000  2 Cd 2.09
C 0.5000 0.0000 0.0000  2 Cd 2.09

Output
ρ = 4.65 Mg/m³
Total magnetic moment = 0.269 Bohr magnetons per cell

=====

How far above the most stable structure does each one sit? In kJ/mol of atoms: one 0.0; two 178.8.